Computed, not measured: a relaxed structure of Tm3Te2C at the GGA-PBE level of DFT.

```
Tm3Te2C
1.0
5.794 0.000 0.000
0.000 9.116 -1.924
0.000 -6.143 7.005
Tm Te C
6 4 2
direct
0.993 0.880 0.625
0.493 0.375 0.120
0.993 0.625 0.880
0.493 0.120 0.375
0.461 0.807 0.807
0.961 0.193 0.193
0.492 0.920 0.572
0.992 0.428 0.080
0.492 0.572 0.920
0.992 0.080 0.428
0.026 0.797 0.797
0.526 0.203 0.203
```

Uncorrected energy = -68.7 eV for the cell shown
ΔE_f (raw) = -0.91 eV/atom
Relative energy among the computed polymorphs = 0.21 eV/f.u.
N(E_F) = 0.498 states/eV per atom
M_tot = 0.000 μB per formula unit